Record 1
Ce2As4Ru3 | PBE | relaxed

Values from the calculation:
Final energy in eV for the cell shown: -64.48
Theoretical density in g cm⁻³: 8.54
Crystal system: orthorhombic
Volume in Å³ per atom: 19.1
M_tot in μB/cell: 0.94
DFT formation energy in meV/atom: -688

a = 5.707 Å, b = 5.707 Å, c = 6.760 Å
α = 101.84°, β = 101.84°, γ = 120.92°
Last column: magnetic moment on the atom in μB.
Atoms (fractional coordinates):
Ru  0.000  0.500  0.000  -0.03
Ru  0.000  0.000  0.000  -0.04
Ru  0.500  0.000  0.000  -0.03
As  0.686  0.008  0.694  0.00
As  0.314  0.992  0.306  0.00
As  0.992  0.314  0.306  0.00
As  0.008  0.686  0.694  0.00
Ce  0.366  0.366  0.732  0.45
Ce  0.634  0.634  0.268  0.45



Record 2
Tl2Cr | PBE | relaxed

Values from the calculation:
Final energy in eV for the cell shown: -25.51
Theoretical density in g cm⁻³: 10.19
E above lowest polymorph in meV per atom: 109
Crystal system: orthorhombic
Volume in Å³ per atom: 25.0
M_tot in μB/cell: 8.54
DFT formation energy in meV/atom: 533

a = 8.203 Å, b = 8.203 Å, c = 5.467 Å
α = 90.00°, β = 90.00°, γ = 155.90°
Last column: magnetic moment on the atom in μB.
Atoms (fractional coordinates):
Tl  0.864  0.136  0.250  0.01
Tl  0.136  0.864  0.750  0.01
Tl  0.442  0.558  0.750  -0.01
Tl  0.558  0.442  0.250  -0.01
Cr  0.786  0.214  0.750  3.82
Cr  0.214  0.786  0.250  3.82



Record 3
TbDy2Tl | PBE | relaxed

Values from the calculation:
Final energy in eV for the cell shown: -16.64
Theoretical density in g cm⁻³: 9.42
E above lowest polymorph in meV per atom: 77
Crystal system: trigonal
Volume in Å³ per atom: 30.3
M_tot in μB/cell: 0.00
DFT formation energy in meV/atom: -110

a = 3.562 Å, b = 3.562 Å, c = 11.231 Å
α = 80.88°, β = 80.88°, γ = 60.00°
Atoms (fractional coordinates):
Dy  0.747  0.747  0.760
Dy  0.253  0.253  0.240
Tb  0.500  0.500  0.500
Tl  0.000  0.000  0.000



Record 4
RbSiAs3 | PBE | relaxed

Values from the calculation:
Final energy in eV for the cell shown: -10.31
Theoretical density in g cm⁻³: 3.38
Raw formation energy in eV/atom: 2.01
E above lowest polymorph in meV per atom: 2129
Crystal system: cubic
Volume in Å³ per atom: 33.3
M_tot in μB/cell: 0.00

a = 5.500 Å, b = 5.500 Å, c = 5.500 Å
α = 90.00°, β = 90.00°, γ = 90.00°
Atoms (fractional coordinates):
Rb  0.000  0.000  0.000
Si  0.500  0.500  0.500
As  0.000  0.000  0.500
As  0.000  0.500  0.000
As  0.500  0.000  0.000



Record 5
Ni8RuPt2 | PBE | relaxed

Values from the calculation:
Final energy in eV for the cell shown: -67.69
Theoretical density in g cm⁻³: 11.92
Crystal system: triclinic
Volume in Å³ per atom: 12.2
M_tot in μB/cell: 6.22
DFT formation energy in meV/atom: -7

a = 4.459 Å, b = 4.467 Å, c = 6.854 Å
α = 96.37°, β = 90.84°, γ = 99.26°
Last column: magnetic moment on the atom in μB.
Atoms (fractional coordinates):
Ru  0.500  0.000  0.000  0.80
Ni  0.590  0.542  0.180  0.59
Ni  0.682  0.098  0.362  0.61
Ni  0.318  0.902  0.638  0.61
Ni  0.237  0.367  0.455  0.71
Ni  0.045  0.273  0.092  0.62
Ni  0.763  0.633  0.545  0.71
Ni  0.410  0.458  0.820  0.59
Ni  0.955  0.727  0.908  0.62
Pt  0.133  0.816  0.277  0.30
Pt  0.867  0.184  0.723  0.30



Record 6
Ti2TlCd2 | PBE | relaxed

Values from the calculation:
Final energy in eV for the cell shown: -37.58
Theoretical density in g cm⁻³: 8.03
E above lowest polymorph in meV per atom: 0
Crystal system: tetragonal
Volume in Å³ per atom: 21.7
M_tot in μB/cell: 3.57
DFT formation energy in meV/atom: 239

a = 8.216 Å, b = 8.216 Å, c = 3.218 Å
α = 90.00°, β = 90.00°, γ = 90.00°
Last column: magnetic moment on the atom in μB.
Atoms (fractional coordinates):
Ti  0.610  0.110  0.000  0.75
Ti  0.110  0.390  0.000  0.73
Ti  0.890  0.610  0.000  0.73
Ti  0.390  0.890  0.000  0.75
Cd  0.816  0.316  0.500  0.01
Cd  0.316  0.184  0.500  0.01
Cd  0.684  0.816  0.500  0.01
Cd  0.184  0.684  0.500  0.01
Tl  0.000  0.000  0.000  -0.01
Tl  0.500  0.500  0.000  -0.01



Record 7
Mn2In4Te | PBE | relaxed

Values from the calculation:
Final energy in eV for the cell shown: -27.70
Theoretical density in g cm⁻³: 5.10
Raw formation energy in eV/atom: 0.68
Crystal system: tetragonal
Volume in Å³ per atom: 32.4
M_tot in μB/cell: 8.11

a = 5.718 Å, b = 5.718 Å, c = 8.026 Å
α = 69.13°, β = 69.13°, γ = 90.00°
Last column: magnetic moment on the atom in μB.
Atoms (fractional coordinates):
In  0.000  0.500  0.000  -0.05
In  0.500  0.000  0.000  -0.05
In  0.215  0.215  0.569  0.00
In  0.785  0.785  0.431  0.00
Mn  0.412  0.412  0.177  3.78
Mn  0.588  0.588  0.823  3.78
Te  0.000  0.000  0.000  0.04



Record 8
La4PbCl | PBE | relaxed

Values from the calculation:
Final energy in eV for the cell shown: -25.99
Theoretical density in g cm⁻³: 6.69
Raw formation energy in eV/atom: -0.12
Crystal system: cubic
Volume in Å³ per atom: 33.0
M_tot in μB/cell: 0.00

a = 6.544 Å, b = 6.544 Å, c = 6.544 Å
α = 60.00°, β = 60.00°, γ = 60.00°
Atoms (fractional coordinates):
La  0.378  0.378  0.866
La  0.378  0.378  0.378
La  0.866  0.378  0.378
La  0.378  0.866  0.378
Cl  0.000  0.000  0.000
Pb  0.750  0.750  0.750



Record 9
PmY2H | PBE | relaxed

Values from the calculation:
Final energy in eV for the cell shown: -21.82
Theoretical density in g cm⁻³: 5.47
E above lowest polymorph in meV per atom: 0
Crystal system: trigonal
Volume in Å³ per atom: 24.6
M_tot in μB/cell: 0.00

a = 3.626 Å, b = 3.626 Å, c = 8.875 Å
α = 78.21°, β = 78.21°, γ = 60.00°
Atoms (fractional coordinates):
Pm  0.500  0.500  0.500
Y  0.280  0.280  0.160
Y  0.720  0.720  0.840
H  0.000  0.000  0.000



Record 10
Ca3NbI | PBE | relaxed

Values from the calculation:
Final energy in eV for the cell shown: -14.66
Theoretical density in g cm⁻³: 3.10
Raw formation energy in eV/atom: 0.59
E above lowest polymorph in meV per atom: 0
Crystal system: cubic
Volume in Å³ per atom: 36.4
M_tot in μB/cell: 0.00

a = 5.667 Å, b = 5.667 Å, c = 5.667 Å
α = 90.00°, β = 90.00°, γ = 90.00°
Atoms (fractional coordinates):
I  0.500  0.500  0.500
Ca  0.000  0.500  0.000
Ca  0.000  0.000  0.500
Ca  0.500  0.000  0.000
Nb  0.000  0.000  0.000



Record 11
Cs2Li2PmCl6 | PBE | relaxed

Values from the calculation:
Final energy in eV for the cell shown: -41.19
Theoretical density in g cm⁻³: 2.86
Raw formation energy in eV/atom: -1.80
Crystal system: trigonal
Volume in Å³ per atom: 33.6
M_tot in μB/cell: 0.58

a = 7.307 Å, b = 7.307 Å, c = 7.993 Å
α = 90.00°, β = 90.00°, γ = 120.00°
Last column: magnetic moment on the atom in μB.
Atoms (fractional coordinates):
Cl  0.673  0.837  0.763  0.00
Cl  0.836  0.673  0.237  0.00
Cl  0.837  0.164  0.237  0.00
Cl  0.163  0.836  0.763  0.00
Cl  0.164  0.327  0.763  0.00
Cl  0.327  0.163  0.237  0.00
Cs  0.333  0.667  0.371  0.01
Cs  0.667  0.333  0.629  0.01
Li  0.333  0.667  0.863  0.01
Li  0.667  0.333  0.137  0.01
Pm  0.000  0.000  0.000  0.18



Record 12
HoSnHgBi | PBE | relaxed

Values from the calculation:
Final energy in eV for the cell shown: -13.59
Theoretical density in g cm⁻³: 10.32
Crystal system: cubic
Volume in Å³ per atom: 27.9
M_tot in μB/cell: 0.00
DFT formation energy in meV/atom: -206

a = 5.403 Å, b = 5.403 Å, c = 5.403 Å
α = 60.00°, β = 60.00°, γ = 60.00°
Atoms (fractional coordinates):
Hg  0.750  0.750  0.750
Sn  0.500  0.500  0.500
Ho  0.000  0.000  0.000
Bi  0.250  0.250  0.250